No. 1
# KZr2NbTc PBE-GGA optimized geometry
# **Size of the total moment**: 0.010 μB per atom
# **ΔH_f (0 K)**: 1.470 eV/atom
# **Density**: 5.3 g/cm³
data_KZr2NbTc
_symmetry_space_group_name_H-M 'P 4/m m m'
_symmetry_Int_Tables_number 123
_symmetry_space_group_name_Hall '-P 4 2'
_cell_length_a 5.0176
_cell_length_b 5.0176
_cell_length_c 5.1561
_cell_angle_alpha 90.00
_cell_angle_beta 90.00
_cell_angle_gamma 90.00
loop_
_atom_site_label
_atom_site_fract_x
_atom_site_fract_y
_atom_site_fract_z
K1 0.0000 0.0000 0.0000
Zr1 0.0000 0.5000 0.5000
Nb1 0.5000 0.5000 0.0000
Tc1 0.0000 0.0000 0.5000


No. 2
# KHSe2Br PBE-GGA optimized geometry
# **Size of the total moment**: 0.000 μB per atom
# **E above lowest polymorph**: 0 meV/atom
# **Density**: 3.3 g/cm³
data_KHSe2Br
_symmetry_space_group_name_H-M 'P 4/m m m'
_symmetry_Int_Tables_number 123
_symmetry_space_group_name_Hall '-P 4 2'
_cell_length_a 4.1623
_cell_length_b 4.1623
_cell_length_c 7.9835
_cell_angle_alpha 90.00
_cell_angle_beta 90.00
_cell_angle_gamma 90.00
loop_
_atom_site_label
_atom_site_fract_x
_atom_site_fract_y
_atom_site_fract_z
K1 0.0000 0.0000 0.0000
H1 0.5000 0.5000 0.5000
Se1 0.0000 0.5000 0.5000
Br1 0.5000 0.5000 0.0000


No. 3
# Cs2SmMg2Se4 PBE-GGA optimized geometry
# **Size of the total moment**: 0.074 μB per atom
# **Electronic total energy**: -3.94 eV per atom
# **Density**: 4.5 g/cm³
data_Cs2SmMg2Se4
_symmetry_space_group_name_H-M 'C 1 2/m 1'
_symmetry_Int_Tables_number 12
_cell_length_a 16.3877
_cell_length_b 4.3166
_cell_length_c 8.5947
_cell_angle_alpha 90.00
_cell_angle_beta 107.45
_cell_angle_gamma 90.00
loop_
_symmetry_equiv_pos_as_xyz
'x,y,z'
'-x,-y,-z'
'-x,y,-z'
'x,-y,z'
'x+1/2,y+1/2,z'
'-x+1/2,-y+1/2,-z'
'-x+1/2,y+1/2,-z'
'x+1/2,-y+1/2,z'
loop_
_atom_site_label
_atom_site_fract_x
_atom_site_fract_y
_atom_site_fract_z
Cs1 0.1270 0.0000 0.0390
Sm1 0.0000 0.0000 0.5000
Mg1 0.1714 0.5000 0.4761
Se1 0.0224 0.5000 0.2717
Se2 0.1999 0.0000 0.6582


No. 4
# CaGdSiHg PBE-GGA optimized geometry
# **Size of the total moment**: 1.775 μB per atom
# **Electronic total energy**: -5.91 eV per atom
# **Density**: 7.2 g/cm³
data_CaGdSiHg
_symmetry_space_group_name_H-M 'F -4 3 m'
_symmetry_Int_Tables_number 216
_symmetry_space_group_name_Hall 'F -4 2 3'
_cell_length_a 7.3357
_cell_length_b 7.3357
_cell_length_c 7.3357
_cell_angle_alpha 90.00
_cell_angle_beta 90.00
_cell_angle_gamma 90.00
loop_
_atom_site_label
_atom_site_fract_x
_atom_site_fract_y
_atom_site_fract_z
Ca1 0.0000 0.0000 0.0000
Gd1 0.0000 0.0000 0.5000
Si1 0.2500 0.2500 0.2500
Hg1 0.2500 0.2500 0.7500


No. 5
# PtAuN3 PBE-GGA optimized geometry
# **Size of the total moment**: 0.665 μB per atom
# **Electronic total energy**: -4.08 eV per atom
# **Density**: 10.9 g/cm³
data_PtAuN3
_symmetry_space_group_name_H-M 'P m -3 m'
_symmetry_Int_Tables_number 221
_symmetry_space_group_name_Hall '-P 4 2 3'
_cell_length_a 4.0407
_cell_length_b 4.0407
_cell_length_c 4.0407
_cell_angle_alpha 90.00
_cell_angle_beta 90.00
_cell_angle_gamma 90.00
loop_
_atom_site_label
_atom_site_fract_x
_atom_site_fract_y
_atom_site_fract_z
Pt1 0.0000 0.0000 0.0000
Au1 0.5000 0.5000 0.5000
N1 0.0000 0.5000 0.5000


No. 6
# LiY2Cr PBE-GGA optimized geometry
# **Size of the total moment**: 0.885 μB per atom
# **ΔH_f (0 K)**: 0.345 eV/atom
# **Density**: 4.0 g/cm³
data_LiY2Cr
_symmetry_space_group_name_H-M 'P 4 m m'
_symmetry_Int_Tables_number 99
_cell_length_a 3.6372
_cell_length_b 3.6372
_cell_length_c 7.4533
_cell_angle_alpha 90.00
_cell_angle_beta 90.00
_cell_angle_gamma 90.00
loop_
_symmetry_equiv_pos_as_xyz
'x,y,z'
'-y,x,z'
'-x,-y,z'
'y,-x,z'
'-x,y,z'
'y,x,z'
'x,-y,z'
'-y,-x,z'
loop_
_atom_site_label
_atom_site_fract_x
_atom_site_fract_y
_atom_site_fract_z
Li1 0.0000 0.0000 0.0000
Y1 0.0000 0.0000 0.5890
Y2 0.5000 0.5000 0.2530
Cr1 0.5000 0.5000 0.8278


No. 7
# CsNa2TlCu PBE-GGA optimized geometry
# **Size of the total moment**: 0.000 μB per atom
# **ΔH_f (0 K)**: 0.112 eV/atom
# **E above lowest polymorph**: 0 meV/atom
# **Density**: 4.1 g/cm³
data_CsNa2TlCu
_symmetry_space_group_name_H-M 'P 4/m m m'
_symmetry_Int_Tables_number 123
_symmetry_space_group_name_Hall '-P 4 2'
_cell_length_a 5.9404
_cell_length_b 5.9404
_cell_length_c 5.1222
_cell_angle_alpha 90.00
_cell_angle_beta 90.00
_cell_angle_gamma 90.00
loop_
_atom_site_label
_atom_site_fract_x
_atom_site_fract_y
_atom_site_fract_z
Cs1 0.0000 0.0000 0.0000
Na1 0.0000 0.5000 0.5000
Tl1 0.5000 0.5000 0.0000
Cu1 0.5000 0.5000 0.5000


No. 8
# NaSi2Cl PBE-GGA optimized geometry
# **Size of the total moment**: 0.000 μB per atom
# **E above lowest polymorph**: 1050 meV/atom
# **Density**: 2.3 g/cm³
data_NaSi2Cl
_symmetry_space_group_name_H-M 'F m -3 m'
_symmetry_Int_Tables_number 225
_symmetry_space_group_name_Hall '-F 4 2 3'
_cell_length_a 6.9449
_cell_length_b 6.9449
_cell_length_c 6.9449
_cell_angle_alpha 90.00
_cell_angle_beta 90.00
_cell_angle_gamma 90.00
loop_
_atom_site_label
_atom_site_fract_x
_atom_site_fract_y
_atom_site_fract_z
Na1 0.0000 0.0000 0.0000
Si1 0.2500 0.2500 0.2500
Cl1 0.0000 0.0000 0.5000